VTcIrRu: optimized geometry, GGA-PBE.

Final energy, eV per atom: -9.363
Space group: No. 44
Spin magnetization, μB/cell: 0.0

a b c (Å): 5.9415 5.9415 5.9415
angles (deg): 153.47 138.82 49.66
With the nearest neighbours (Å) after each atom.
Fractional positions:
V1 0.0000 0.0000 0.0000  4 Ir 2.61, 2 Tc 2.62, 2 V 2.73, 2 Ru 2.74
Tc1 0.6469 0.1469 0.5000  4 Ru 2.62, 2 V 2.62, 2 Tc 2.73, 2 Ir 2.73
Ir1 0.4275 0.4275 0.0000  2 Ru 2.61, 4 V 2.61, 2 Ir 2.73, 2 Tc 2.73
Ru1 0.2208 0.7208 0.5000  2 Ir 2.61, 4 Tc 2.62, 2 Ru 2.73, 2 V 2.74